(1)
! LiSe, relaxed, DFT GGA-PBEsol; values from VASP
&SYSTEM
  ibrav = 0, nat = 2, ntyp = 2
/
ATOMIC_SPECIES
Li 6.94 Li.upf
Se 78.96 Se.upf
CELL_PARAMETERS angstrom
3.2406 0.0000 0.0000
0.0000 3.2406 0.0000
0.0000 0.0000 3.2406
ATOMIC_POSITIONS angstrom
Li 0.0000 0.0000 0.0000
Se 1.6203 1.6203 1.6203
! - Distance to the lowest polymorph of the same formula: 0.0 meV per atom
! - Symmetry: No. 221
! - Raw formation energy: -0.71 eV per atom

---

(2)
! LiVO2F2, relaxed, DFT GGA-PBEsol; values from VASP
&SYSTEM
  ibrav = 0, nat = 12, ntyp = 4
/
ATOMIC_SPECIES
Li 6.94 Li.upf
V 50.94 V.upf
O 16.00 O.upf
F 19.00 F.upf
CELL_PARAMETERS angstrom
6.1707 0.0000 0.0000
0.0000 3.8233 0.0000
-1.1648 0.0000 6.2335
ATOMIC_POSITIONS angstrom
Li 0.8778 0.0000 0.9738
Li 4.1280 1.9117 5.2597
V 0.9570 1.0260 4.3797
V 4.0489 2.9376 1.8538
O -0.2585 1.0201 5.4992
O 2.6087 2.9460 1.1285
O 2.3972 1.0344 5.1050
O 5.2643 2.9318 0.7343
F 0.7626 1.0170 2.5477
F 0.9146 2.9332 4.0902
F 4.0913 1.0215 2.1433
F 4.2433 2.9287 3.6858
! - Distance to the lowest polymorph of the same formula: 72.2 meV per atom
! - Symmetry: No. 4
! - Raw formation energy: -2.55 eV per atom

---

(3)
! BrCl3, relaxed, DFT GGA-PBEsol; values from VASP
&SYSTEM
  ibrav = 0, nat = 4, ntyp = 2
/
ATOMIC_SPECIES
Br 79.90 Br.upf
Cl 35.45 Cl.upf
CELL_PARAMETERS angstrom
4.3031 0.0000 0.0000
0.0000 4.3031 0.0000
0.0000 0.0000 4.3031
ATOMIC_POSITIONS angstrom
Br 0.0000 0.0000 0.0000
Cl 0.0000 2.1515 2.1515
Cl 2.1515 0.0000 2.1515
Cl 2.1515 2.1515 0.0000
! - Symmetry: No. 221
! - Raw formation energy: 0.70 eV per atom

---

(4)
! LiIn2Os, relaxed, DFT GGA-PBEsol; values from VASP
&SYSTEM
  ibrav = 0, nat = 12, ntyp = 3
/
ATOMIC_SPECIES
Li 6.94 Li.upf
In 114.82 In.upf
Os 190.23 Os.upf
CELL_PARAMETERS angstrom
3.0503 0.0000 0.0000
-1.5251 2.6416 0.0000
0.0000 0.0000 27.0309
ATOMIC_POSITIONS angstrom
Li 0.0000 0.0000 0.0000
Li 0.0000 1.7611 18.0206
Li 1.5251 0.8805 9.0103
In 0.0000 0.0000 6.6684
In 0.0000 0.0000 20.3625
In 0.0000 1.7611 11.3521
In 0.0000 1.7611 24.6890
In 1.5251 0.8805 2.3419
In 1.5251 0.8805 15.6787
Os 0.0000 0.0000 13.5154
Os 0.0000 1.7611 4.5052
Os 1.5251 0.8805 22.5257
! - Symmetry: No. 166
! - Formation energy: 0.90 eV per formula unit

---

(5)
! ReTcBr2, relaxed, DFT GGA-PBEsol; values from VASP
&SYSTEM
  ibrav = 0, nat = 16, ntyp = 3
/
ATOMIC_SPECIES
Re 186.21 Re.upf
Tc 98.00 Tc.upf
Br 79.90 Br.upf
CELL_PARAMETERS angstrom
6.2942 0.0000 0.0000
0.0000 6.2942 0.0000
0.0000 0.0000 6.2942
ATOMIC_POSITIONS angstrom
Re 0.0000 0.0000 0.0000
Re 0.0000 3.1471 3.1471
Re 3.1471 0.0000 3.1471
Re 3.1471 3.1471 0.0000
Tc 0.0000 0.0000 3.1471
Tc 0.0000 3.1471 0.0000
Tc 3.1471 0.0000 0.0000
Tc 3.1471 3.1471 3.1471
Br 1.5735 1.5735 1.5735
Br 1.5735 1.5735 4.7206
Br 1.5735 4.7206 1.5735
Br 1.5735 4.7206 4.7206
Br 4.7206 1.5735 1.5735
Br 4.7206 1.5735 4.7206
Br 4.7206 4.7206 1.5735
Br 4.7206 4.7206 4.7206
! - Distance to the lowest polymorph of the same formula: 591.2 meV per atom
! - Symmetry: No. 225
! - Raw formation energy: 1.32 eV per atom

---

(6)
! Ca3NbAs, relaxed, DFT GGA-PBEsol; values from VASP
&SYSTEM
  ibrav = 0, nat = 5, ntyp = 3
/
ATOMIC_SPECIES
Ca 40.08 Ca.upf
Nb 92.91 Nb.upf
As 74.92 As.upf
CELL_PARAMETERS angstrom
5.2872 0.0000 0.0000
0.0000 5.2872 0.0000
0.0000 0.0000 5.2872
ATOMIC_POSITIONS angstrom
Ca 0.0000 0.0000 2.6436
Ca 0.0000 2.6436 0.0000
Ca 2.6436 0.0000 0.0000
Nb 0.0000 0.0000 0.0000
As 2.6436 2.6436 2.6436
! - Symmetry: No. 221
! - Formation energy: 4.57 eV per formula unit

---

(7)
! TaTcH3, relaxed, DFT GGA-PBEsol; values from VASP
&SYSTEM
  ibrav = 0, nat = 5, ntyp = 3
/
ATOMIC_SPECIES
Ta 180.95 Ta.upf
Tc 98.00 Tc.upf
H 1.01 H.upf
CELL_PARAMETERS angstrom
3.4303 0.0000 0.0000
0.0000 3.4303 0.0000
0.0000 0.0000 3.4303
ATOMIC_POSITIONS angstrom
Ta 0.0000 0.0000 0.0000
Tc 1.7151 1.7151 1.7151
H 0.0000 1.7151 1.7151
H 1.7151 0.0000 1.7151
H 1.7151 1.7151 0.0000
! - Distance to the lowest polymorph of the same formula: 0.0 meV per atom
! - Symmetry: No. 221

---

(8)
! CaSc2Al, relaxed, DFT GGA-PBEsol; values from VASP
&SYSTEM
  ibrav = 0, nat = 4, ntyp = 3
/
ATOMIC_SPECIES
Ca 40.08 Ca.upf
Sc 44.96 Sc.upf
Al 26.98 Al.upf
CELL_PARAMETERS angstrom
3.2664 0.0000 0.0000
0.0000 4.6907 0.0000
-1.3968 0.0000 6.3002
ATOMIC_POSITIONS angstrom
Ca 0.0000 0.0000 0.0000
Sc 0.3893 2.3454 4.4893
Sc 1.4804 2.3454 1.8109
Al -0.6984 0.0000 3.1501
! - Symmetry: No. 10
! - Formation energy: 0.04 eV per formula unit

---

(9)
! Rh2Se3, relaxed, DFT GGA-PBEsol; values from VASP
&SYSTEM
  ibrav = 0, nat = 20, ntyp = 2
/
ATOMIC_SPECIES
Rh 102.91 Rh.upf
Se 78.96 Se.upf
CELL_PARAMETERS angstrom
8.8560 0.0000 0.0000
0.0000 6.2933 0.0000
0.0000 0.0000 6.3907
ATOMIC_POSITIONS angstrom
Rh 0.9600 1.5597 0.2083
Rh 0.9600 4.7336 3.4036
Rh 3.4680 1.5870 3.4036
Rh 3.4680 4.7064 0.2083
Rh 5.3880 1.5870 6.1824
Rh 5.3880 4.7064 2.9871
Rh 7.8960 1.5597 2.9871
Rh 7.8960 4.7336 6.1824
Se 0.0000 2.8654 4.7930
Se 0.0000 3.4279 1.5977
Se 1.3415 0.6908 2.5216
Se 1.3415 5.6025 5.7170
Se 3.0865 2.4558 5.7170
Se 3.0865 3.8375 2.5216
Se 4.4280 0.2813 1.5977
Se 4.4280 6.0120 4.7930
Se 5.7695 2.4558 3.8690
Se 5.7695 3.8375 0.6737
Se 7.5145 0.6908 0.6737
Se 7.5145 5.6025 3.8690
! - Symmetry: No. 60
! - Raw formation energy: -0.46 eV per atom

---

(10)
! Co2CuSi, relaxed, DFT GGA-PBEsol; values from VASP
&SYSTEM
  ibrav = 0, nat = 8, ntyp = 3
/
ATOMIC_SPECIES
Co 58.93 Co.upf
Cu 63.55 Cu.upf
Si 28.09 Si.upf
CELL_PARAMETERS angstrom
2.7736 0.0000 0.0000
0.0000 4.0194 0.0000
0.0000 0.0000 7.7290
ATOMIC_POSITIONS angstrom
Co 0.0000 0.0000 1.7701
Co 0.0000 0.0000 5.9589
Co 1.3868 2.0097 2.0944
Co 1.3868 2.0097 5.6346
Cu 0.0000 2.0097 0.0000
Cu 1.3868 0.0000 3.8645
Si 0.0000 2.0097 3.8645
Si 1.3868 0.0000 0.0000
! - Symmetry: No. 71
! - Raw formation energy: -0.16 eV per atom

---

(11)
! Tl3PbCl5, relaxed, DFT GGA-PBEsol; values from VASP
&SYSTEM
  ibrav = 0, nat = 36, ntyp = 3
/
ATOMIC_SPECIES
Tl 204.38 Tl.upf
Pb 207.20 Pb.upf
Cl 35.45 Cl.upf
CELL_PARAMETERS angstrom
8.3125 0.0000 0.0000
0.0000 8.3125 0.0000
0.0000 0.0000 14.4569
ATOMIC_POSITIONS angstrom
Tl 0.0189 1.4966 0.0000
Tl 1.0772 2.6883 8.3909
Tl 1.4966 8.2936 10.8427
Tl 1.5234 3.0772 3.9099
Tl 2.6883 7.2353 4.7767
Tl 3.0772 6.7891 0.2957
Tl 5.2353 1.5234 7.5241
Tl 5.6242 1.0772 12.0051
Tl 6.7891 5.2353 11.1384
Tl 6.8159 0.0189 3.6142
Tl 7.2353 5.6242 1.1624
Tl 8.2936 6.8159 7.2285
Pb 2.4614 4.2039 12.2313
Pb 4.1086 2.4614 1.3886
Pb 4.2039 5.8511 8.6171
Pb 5.8511 4.1086 5.0028
Cl 0.1205 2.7620 11.5342
Cl 0.3721 6.6294 13.0447
Cl 1.4573 5.4206 9.6943
Cl 1.5918 4.0191 0.7599
Cl 1.6831 0.3721 2.2020
Cl 2.7620 8.1920 7.9199
Cl 2.8919 1.4573 13.3086
Cl 3.0941 4.2868 6.5641
Cl 4.0191 6.7207 11.6026
Cl 4.0257 3.0941 10.1784
Cl 4.2868 5.2184 2.9499
Cl 4.2934 1.5918 4.3741
Cl 5.2184 4.0257 13.7926
Cl 5.4206 6.8552 6.0801
Cl 5.5505 0.1205 0.6915
Cl 6.6294 7.9404 9.4305
Cl 6.7207 4.2934 7.9883
Cl 6.8552 2.8919 2.4659
Cl 7.9404 1.6831 5.8163
Cl 8.1920 5.5505 4.3057
! - Distance to the lowest polymorph of the same formula: 5.3 meV per atom
! - Symmetry: No. 76
! - Raw formation energy: -1.00 eV per atom

---

(12)
! SrHg2Pt2, relaxed, DFT GGA-PBEsol; values from VASP
&SYSTEM
  ibrav = 0, nat = 10, ntyp = 3
/
ATOMIC_SPECIES
Sr 87.62 Sr.upf
Hg 200.59 Hg.upf
Pt 195.08 Pt.upf
CELL_PARAMETERS angstrom
4.3344 0.0000 0.0000
0.0000 4.3344 0.0000
0.0000 0.0000 11.9903
ATOMIC_POSITIONS angstrom
Sr 0.0000 0.0000 0.0000
Sr 2.1672 2.1672 5.9951
Hg 0.0000 2.1672 2.9976
Hg 0.0000 2.1672 8.9927
Hg 2.1672 0.0000 2.9976
Hg 2.1672 0.0000 8.9927
Pt 0.0000 0.0000 4.7380
Pt 0.0000 0.0000 7.2523
Pt 2.1672 2.1672 1.2571
Pt 2.1672 2.1672 10.7331
! - Symmetry: No. 139
! - Formation energy: -2.08 eV per formula unit

---

Computed electronic total energy, in the same sequence as the records: -3.615; -6.878; -1.276; -4.812; -5.762; -3.552; -6.498; -4.849; -6.021; -6.550; -3.438; -3.796 eV per atom.